VASP calculation (GGA-PBE) on a relaxed structure of CaTb5Ho4.

Cell lengths 3.5658, 3.5658, 25.4120 Å; angles 90.00, 90.00, 90.00 degrees
Element x y z (fractional)
Ca1 0.0000 0.0000 0.0000
Tb1 0.5000 0.5000 0.1107
Tb2 0.5000 0.5000 0.3045
Tb3 0.5000 0.5000 0.5000
Tb4 0.5000 0.5000 0.6955
Tb5 0.5000 0.5000 0.8893
Ho1 0.0000 0.0000 0.2052
Ho2 0.0000 0.0000 0.4019
Ho3 0.0000 0.0000 0.5981
Ho4 0.0000 0.0000 0.7948

Results
energy relative to the elements	0.371	eV per formula unit
total DFT energy (no corrections)	-4.31	eV per atom
space group	P4/mmm

=====

VASP calculation (GGA-PBE) on a relaxed structure of CaTb9Ho2.

Cell lengths 5.0532, 5.0532, 15.1728 Å; angles 90.00, 90.00, 90.00 degrees
Element x y z (fractional)
Ca1 0.0000 0.0000 0.0000
Tb1 0.0000 0.5000 0.1732
Tb2 0.0000 0.5000 0.5000
Tb3 0.0000 0.5000 0.8268
Tb4 0.5000 0.0000 0.1732
Tb5 0.5000 0.0000 0.5000
Tb6 0.5000 0.0000 0.8268
Tb7 0.5000 0.5000 0.0000
Tb8 0.5000 0.5000 0.3340
Tb9 0.5000 0.5000 0.6660
Ho1 0.0000 0.0000 0.3344
Ho2 0.0000 0.0000 0.6656

Results
energy relative to the elements	0.585	eV per formula unit
total DFT energy (no corrections)	-4.35	eV per atom
space group	P4/mmm

=====

VASP calculation (GGA-PBE) on a relaxed structure of CaTbHo4.

Cell lengths 6.6177, 6.6177, 6.6177 Å; angles 60.00, 60.00, 60.00 degrees
Element x y z (fractional)
Ca1 0.0000 0.0000 0.0000
Tb1 0.2500 0.2500 0.2500
Ho1 0.1294 0.6235 0.6235
Ho2 0.6235 0.1294 0.6235
Ho3 0.6235 0.6235 0.1294
Ho4 0.6235 0.6235 0.6235

Results
energy relative to the elements	1.321	eV per formula unit
total DFT energy (no corrections)	-3.94	eV per atom
space group	F-43m

=====

VASP calculation (GGA-PBE) on a relaxed structure of Ca2TbHo.

Cell lengths 4.1262, 4.1262, 8.2749 Å; angles 90.00, 90.00, 90.00 degrees
Element x y z (fractional)
Ca1 0.0000 0.0000 0.2485
Ca2 0.0000 0.0000 0.7515
Tb1 0.5000 0.5000 0.5000
Ho1 0.5000 0.5000 0.0000

Results
energy relative to the elements	0.761	eV per formula unit
total DFT energy (no corrections)	-3.11	eV per atom
space group	P4/mmm
distance to the lowest polymorph of the same formula	0.0066	eV per atom

=====

VASP calculation (GGA-PBE) on a relaxed structure of CaTb2Ho7.

Cell lengths 6.1528, 6.1592, 9.4191 Å; angles 109.07, 102.39, 99.60 degrees
Element x y z (fractional)
Ca1 0.0000 0.0000 0.0000
Tb1 0.3948 0.7937 0.7936
Tb2 0.6052 0.2063 0.2064
Ho1 0.0992 0.2049 0.6964
Ho2 0.2038 0.4060 0.4055
Ho3 0.3122 0.6051 0.1036
Ho4 0.5000 0.0000 0.5000
Ho5 0.6878 0.3949 0.8964
Ho6 0.7962 0.5940 0.5945
Ho7 0.9008 0.7951 0.3036

Results
energy relative to the elements	0.561	eV per formula unit
total DFT energy (no corrections)	-4.27	eV per atom
space group	P-1

=====

VASP calculation (GGA-PBE) on a relaxed structure of Ca3TbHo2Te6.

Cell lengths 7.5973, 7.5973, 7.7477 Å; angles 99.42, 99.42, 119.95 degrees
Element x y z (fractional)
Ca1 0.0000 0.0000 0.0000
Ca2 0.3342 0.6658 0.0000
Ca3 0.6658 0.3342 0.0000
Tb1 0.5000 0.5000 0.5000
Ho1 0.1669 0.8331 0.5000
Ho2 0.8331 0.1669 0.5000
Te1 0.0830 0.4184 0.2553
Te2 0.2459 0.2459 0.7441
Te3 0.4184 0.0830 0.2553
Te4 0.5816 0.9170 0.7447
Te5 0.7541 0.7541 0.2559
Te6 0.9170 0.5816 0.7447

Results
formation energy (no corrections)	-1447	meV per atom
total DFT energy (no corrections)	-4.67	eV per atom
space group	C2/m

=====

VASP calculation (GGA-PBE) on a relaxed structure of Ca4TbHo3Te8.

Cell lengths 8.8981, 8.8981, 8.8981 Å; angles 59.06, 59.06, 59.06 degrees
Element x y z (fractional)
Ca1 0.0000 0.0000 0.0000
Ca2 0.0000 0.5000 0.5000
Ca3 0.5000 0.0000 0.5000
Ca4 0.5000 0.5000 0.0000
Tb1 0.5000 0.5000 0.5000
Ho1 0.0000 0.0000 0.5000
Ho2 0.0000 0.5000 0.0000
Ho3 0.5000 0.0000 0.0000
Te1 0.2466 0.7489 0.7489
Te2 0.2478 0.2478 0.2478
Te3 0.2511 0.2511 0.7534
Te4 0.2511 0.7534 0.2511
Te5 0.7489 0.2466 0.7489
Te6 0.7489 0.7489 0.2466
Te7 0.7522 0.7522 0.7522
Te8 0.7534 0.2511 0.2511

Results
formation energy (no corrections)	-1445	meV per atom
total DFT energy (no corrections)	-4.66	eV per atom
space group	R-3m

=====

VASP calculation (GGA-PBE) on a relaxed structure of CaTb2HoTe4.

Cell lengths 7.5998, 4.3634, 7.6241 Å; angles 90.00, 109.06, 90.00 degrees
Element x y z (fractional)
Ca1 0.0000 0.0000 0.0000
Tb1 0.0000 0.5000 0.5000
Tb2 0.5000 0.0000 0.5000
Ho1 0.5000 0.5000 0.0000
Te1 0.2523 0.0000 0.7519
Te2 0.2523 0.5000 0.2500
Te3 0.7477 0.0000 0.2481
Te4 0.7477 0.5000 0.7500

Results
formation energy (no corrections)	-1368	meV per atom
total DFT energy (no corrections)	-4.92	eV per atom
space group	P2/m

=====

VASP calculation (GGA-PBE) on a relaxed structure of Ca3Tb2HoTe6.

Cell lengths 7.6068, 7.6068, 7.7624 Å; angles 99.43, 99.43, 119.94 degrees
Element x y z (fractional)
Ca1 0.0000 0.0000 0.0000
Ca2 0.3324 0.6676 0.0000
Ca3 0.6676 0.3324 0.0000
Tb1 0.1662 0.8338 0.5000
Tb2 0.8338 0.1662 0.5000
Ho1 0.5000 0.5000 0.5000
Te1 0.0871 0.4184 0.2548
Te2 0.2509 0.2509 0.7459
Te3 0.4184 0.0871 0.2548
Te4 0.5816 0.9129 0.7452
Te5 0.7491 0.7491 0.2541
Te6 0.9129 0.5816 0.7452

Results
formation energy (no corrections)	-1457	meV per atom
total DFT energy (no corrections)	-4.68	eV per atom
space group	C2/m

=====

VASP calculation (GGA-PBE) on a relaxed structure of Ca4Tb3HoTe8.

Cell lengths 8.9229, 8.9229, 8.9229 Å; angles 58.99, 58.99, 58.99 degrees
Element x y z (fractional)
Ca1 0.0000 0.0000 0.0000
Ca2 0.0000 0.5000 0.5000
Ca3 0.5000 0.0000 0.5000
Ca4 0.5000 0.5000 0.0000
Tb1 0.0000 0.0000 0.5000
Tb2 0.0000 0.5000 0.0000
Tb3 0.5000 0.0000 0.0000
Ho1 0.5000 0.5000 0.5000
Te1 0.2488 0.2488 0.2488
Te2 0.2501 0.7476 0.7476
Te3 0.2524 0.2524 0.7499
Te4 0.2524 0.7499 0.2524
Te5 0.7476 0.2501 0.7476
Te6 0.7476 0.7476 0.2501
Te7 0.7499 0.2524 0.2524
Te8 0.7512 0.7512 0.7512

Results
formation energy (no corrections)	-1459	meV per atom
total DFT energy (no corrections)	-4.68	eV per atom
space group	R-3m

=====

VASP calculation (GGA-PBE) on a relaxed structure of Ca3Tb3HoTe8.

Cell lengths 8.9206, 8.9206, 8.9206 Å; angles 58.87, 58.87, 58.87 degrees
Element x y z (fractional)
Ca1 0.0000 0.5000 0.5000
Ca2 0.5000 0.0000 0.5000
Ca3 0.5000 0.5000 0.0000
Tb1 0.0000 0.0000 0.5000
Tb2 0.0000 0.5000 0.0000
Tb3 0.5000 0.0000 0.0000
Ho1 0.5000 0.5000 0.5000
Te1 0.2462 0.7493 0.7493
Te2 0.2487 0.2487 0.2487
Te3 0.2507 0.2507 0.7538
Te4 0.2507 0.7538 0.2507
Te5 0.7493 0.2462 0.7493
Te6 0.7493 0.7493 0.2462
Te7 0.7513 0.7513 0.7513
Te8 0.7538 0.2507 0.2507

Results
formation energy (no corrections)	-1490	meV per atom
total DFT energy (no corrections)	-4.80	eV per atom
space group	R-3m

=====

VASP calculation (GGA-PBE) on a relaxed structure of Ca3TbHo3Te8.

Cell lengths 8.8899, 8.8899, 8.8899 Å; angles 58.85, 58.85, 58.85 degrees
Element x y z (fractional)
Ca1 0.0000 0.5000 0.5000
Ca2 0.5000 0.0000 0.5000
Ca3 0.5000 0.5000 0.0000
Tb1 0.5000 0.5000 0.5000
Ho1 0.0000 0.0000 0.5000
Ho2 0.0000 0.5000 0.0000
Ho3 0.5000 0.0000 0.0000
Te1 0.2422 0.7514 0.7514
Te2 0.2477 0.2477 0.2477
Te3 0.2486 0.2486 0.7578
Te4 0.2486 0.7578 0.2486
Te5 0.7514 0.2422 0.7514
Te6 0.7514 0.7514 0.2422
Te7 0.7523 0.7523 0.7523
Te8 0.7578 0.2486 0.2486

Results
formation energy (no corrections)	-1476	meV per atom
total DFT energy (no corrections)	-4.78	eV per atom
space group	R-3m

=====

VASP calculation (GGA-PBE) on a relaxed structure of CaTbHo4Te8.

Cell lengths 9.0800, 9.0800, 9.0800 Å; angles 59.93, 59.93, 59.93 degrees
Element x y z (fractional)
Ca1 0.0000 0.0000 0.0000
Tb1 0.3724 0.3724 0.3724
Ho1 0.3725 0.3725 0.8809
Ho2 0.3725 0.8809 0.3725
Ho3 0.7494 0.7494 0.7494
Ho4 0.8809 0.3725 0.3725
Te1 0.1329 0.1329 0.5958
Te2 0.1329 0.5958 0.1329
Te3 0.1347 0.1347 0.1347
Te4 0.1479 0.6178 0.6178
Te5 0.5958 0.1329 0.1329
Te6 0.6165 0.6165 0.6165
Te7 0.6178 0.1479 0.6178
Te8 0.6178 0.6178 0.1479

Results
formation energy (no corrections)	-1309	meV per atom
total DFT energy (no corrections)	-4.89	eV per atom
space group	R3m

=====

VASP calculation (GGA-PBE) on a relaxed structure of CaTb3Ho2Te6.

Cell lengths 9.7958, 9.7958, 8.7755 Å; angles 103.30, 103.30, 25.79 degrees
Element x y z (fractional)
Ca1 0.0000 0.0000 0.0000
Tb1 0.0000 0.0000 0.5000
Tb2 0.3347 0.3347 0.1765
Tb3 0.6653 0.6653 0.8235
Ho1 0.3294 0.3294 0.6588
Ho2 0.6706 0.6706 0.3412
Te1 0.1655 0.1655 0.5795
Te2 0.1677 0.1677 0.0841
Te3 0.4970 0.4970 0.7483
Te4 0.5030 0.5030 0.2517
Te5 0.8323 0.8323 0.9159
Te6 0.8345 0.8345 0.4205

Results
formation energy (no corrections)	-1340	meV per atom
total DFT energy (no corrections)	-5.00	eV per atom
space group	C2/m

=====

VASP calculation (GGA-PBE) on a relaxed structure of CaTbHo2Te4.

Cell lengths 7.5863, 4.3579, 7.6048 Å; angles 90.00, 109.11, 90.00 degrees
Element x y z (fractional)
Ca1 0.0000 0.0000 0.0000
Tb1 0.0000 0.5000 0.5000
Ho1 0.5000 0.0000 0.5000
Ho2 0.5000 0.5000 0.0000
Te1 0.2533 0.0000 0.7508
Te2 0.2545 0.5000 0.2523
Te3 0.7455 0.5000 0.7477
Te4 0.7467 0.0000 0.2492

Results
formation energy (no corrections)	-1353	meV per atom
total DFT energy (no corrections)	-4.90	eV per atom
space group	P2/m

=====

VASP calculation (GGA-PBE) on a relaxed structure of CaTbHo2Tl4.

Cell lengths 9.3589, 9.3589, 9.3589 Å; angles 33.44, 33.44, 33.44 degrees
Element x y z (fractional)
Ca1 0.0000 0.0000 0.0000
Tb1 0.5000 0.5000 0.5000
Ho1 0.2520 0.2520 0.2520
Ho2 0.7480 0.7480 0.7480
Tl1 0.1260 0.1260 0.1260
Tl2 0.3762 0.3762 0.3762
Tl3 0.6238 0.6238 0.6238
Tl4 0.8740 0.8740 0.8740

Results
energy relative to the elements	-2.825	eV per formula unit
total DFT energy (no corrections)	-3.51	eV per atom
space group	R-3m

=====

VASP calculation (GGA-PBE) on a relaxed structure of CaTbHoTl.

Cell lengths 5.5109, 5.5109, 5.5109 Å; angles 60.00, 60.00, 60.00 degrees
Element x y z (fractional)
Ca1 0.0000 0.0000 0.0000
Tb1 0.2500 0.2500 0.2500
Ho1 0.7500 0.7500 0.7500
Tl1 0.5000 0.5000 0.5000

Results
energy relative to the elements	-0.143	eV per formula unit
total DFT energy (no corrections)	-3.43	eV per atom
space group	F-43m

=====

VASP calculation (GGA-PBE) on a relaxed structure of CaTb2HoTl4.

Cell lengths 9.3704, 9.3704, 9.3704 Å; angles 33.48, 33.48, 33.48 degrees
Element x y z (fractional)
Ca1 0.0000 0.0000 0.0000
Tb1 0.2523 0.2523 0.2523
Tb2 0.7477 0.7477 0.7477
Ho1 0.5000 0.5000 0.5000
Tl1 0.1266 0.1266 0.1266
Tl2 0.3770 0.3770 0.3770
Tl3 0.6230 0.6230 0.6230
Tl4 0.8734 0.8734 0.8734

Results
energy relative to the elements	-2.867	eV per formula unit
total DFT energy (no corrections)	-3.52	eV per atom
space group	R-3m

=====

VASP calculation (GGA-PBE) on a relaxed structure of CaTbY4Ho2.

Cell lengths 9.6080, 9.6080, 9.6080 Å; angles 138.33, 103.00, 91.60 degrees
Element x y z (fractional)
Ca1 0.5000 0.0000 0.0000
Ca2 0.5000 0.5000 0.5000
Tb1 0.0000 0.0000 0.0000
Tb2 0.5000 0.0000 0.5000
Y1 0.2327 0.7489 0.4838
Y2 0.2349 0.2511 0.9838
Y3 0.2456 0.2459 0.5003
Y4 0.2456 0.7453 0.9997
Y5 0.7544 0.2547 0.0003
Y6 0.7544 0.7541 0.4997
Y7 0.7651 0.7489 0.0162
Y8 0.7673 0.2511 0.5162
Ho1 0.0000 0.0000 0.5000
Ho2 0.0000 0.5000 0.0000
Ho3 0.0000 0.5000 0.5000
Ho4 0.5000 0.5000 0.0000

Results
energy relative to the elements	3.535	eV per formula unit
total DFT energy (no corrections)	-4.76	eV per atom
space group	Imma

=====

VASP calculation (GGA-PBE) on a relaxed structure of CaHo2Tc.

Cell lengths 10.9742, 10.9742, 10.9742 Å; angles 18.56, 18.56, 18.56 degrees
Element x y z (fractional)
Ca1 0.0000 0.0000 0.0000
Ho1 0.1069 0.1069 0.1069
Ho2 0.8931 0.8931 0.8931
Tc1 0.5000 0.5000 0.5000

Results
energy relative to the elements	0.974	eV per formula unit
total DFT energy (no corrections)	-5.14	eV per atom
space group	R-3m
distance to the lowest polymorph of the same formula	0.2576	eV per atom